Material: CsNaTmCl5
Method: DFT, PBE
State: optimized geometry

Values from the calculation:
The energy relative to the elements, uncorrected is -2116 meV per atom.

Lattice parameters (Å, degrees): 9.079 12.926 10.198 90.00 110.50 90.00
Space group C2/c (No. 15)
Unique sites:
Cs 0.000 0.165 0.250
Na 0.000 0.186 0.750
Tm 0.000 0.500 0.000
Cl 0.000 0.444 0.250
Cl 0.089 0.312 0.580
Cl 0.207 0.055 0.931

***

Material: HoErTmSc
Method: DFT, PBE
State: optimized geometry

Values from the calculation:
The calculation puts the energy relative to the lowest polymorph listed for this composition at 0.000 eV/atom. Its formation energy is 44 meV per atom.

Lattice parameters (Å, degrees): 4.885 4.885 9.695 90.00 90.00 90.00
Space group I-4m2 (No. 119)
Unique sites:
Ho 0.000 0.000 0.000
Er 0.000 0.500 0.250
Tm 0.000 0.500 0.750
Sc 0.000 0.000 0.500

***

Material: Cs2NpSb2S6
Method: DFT, PBE
State: optimized geometry

Values from the calculation:
The energy relative to the elements, uncorrected is -774 meV per atom.

Lattice parameters (Å, degrees): 16.028 7.159 7.616 90.00 115.67 90.00
Space group C2/m (No. 12)
Unique sites:
Cs 0.245 0.000 0.275
Np 0.000 0.000 0.500
Sb 0.036 0.500 0.852
S 0.069 0.252 0.339
S 0.153 0.000 0.762

***

Material: Sr5Hg2F12
Method: DFT, PBE
State: optimized geometry

Values from the calculation:
The energy relative to the elements, uncorrected is -3226 meV per atom.

Lattice parameters (Å, degrees): 14.101 6.103 8.231 90.00 106.47 90.00
Space group C2/m (No. 12)
Unique sites:
Sr 0.000 0.000 0.000
Sr 0.179 0.500 0.330
Sr 0.183 0.500 0.852
Hg 0.000 0.284 0.500
F 0.001 0.500 0.812
F 0.008 0.000 0.304
F 0.162 0.237 0.072
F 0.188 0.266 0.606

***

Material: Pr8NiIr3I4
Method: DFT, PBE
State: optimized geometry

Values from the calculation:
The energy relative to the elements, uncorrected is -889 meV per atom.

Lattice parameters (Å, degrees): 8.4583 8.4583 24.5347 90.00 90.00 120.00
Space group R-3m (No. 166, hexagonal axes)
Unique sites:
Pr 0.0000 0.0000 0.2287
Pr 0.0007 0.5004 0.2279
Ni 0.0000 0.0000 0.5000
Ir 0.0000 0.5000 0.5000
I 0.0000 0.0000 0.0000
I 0.0000 0.5000 0.0000

***

Material: Cd2Ge2Sb
Method: DFT, PBE
State: optimized geometry

Values from the calculation:
The energy relative to the elements, uncorrected is 216 meV per atom. The calculation puts the energy relative to the lowest polymorph listed for this composition at 0.000 eV/atom.

Lattice parameters (Å, degrees): 8.559 8.559 3.159 90.00 90.00 90.00
Space group P4/mbm (No. 127)
Unique sites:
Cd 0.124 0.376 0.000
Ge 0.179 0.679 0.500
Sb 0.000 0.000 0.500

***

Material: Er6GaSi2
Method: DFT, PBE
State: optimized geometry

Values from the calculation:
The energy relative to the elements, uncorrected is -554 meV per atom.

Lattice parameters (Å, degrees): 9.379 9.471 10.020 90.00 90.00 90.00
Space group Immm (No. 71)
Unique sites:
Er 0.000 0.198 0.244
Er 0.207 0.500 0.176
Er 0.232 0.320 0.500
Ga 0.000 0.000 0.000
Ga 0.000 0.000 0.500
Si 0.000 0.366 0.000
Si 0.000 0.500 0.382

***

Material: BaAlTe3
Method: DFT, PBE
State: optimized geometry

Values from the calculation:
The energy relative to the elements, uncorrected is 365 meV per atom. The calculation puts the energy relative to the lowest polymorph listed for this composition at 1.208 eV/atom.

Lattice parameters (Å, degrees): 6.575 6.575 6.575 90.00 90.00 90.00
Space group Pm-3m (No. 221)
Unique sites:
Ba 0.000 0.000 0.000
Al 0.500 0.500 0.500
Te 0.000 0.000 0.500

***

Q: Which calculated volume values were calculated for the entries above? A: 35.0; 28.9; 35.8; 17.9; 31.7; 23.1; 24.7; 56.8, in A^3/atom.